This record from Alexandria via LeMat-Bulk describes a geometry-optimized Ge2PAu2 structure. The functional is PBE-GGA.

CIF file:
```
data_Ge2PAu2
_chemical_formula_sum 'Ge4 P2 Au4'
_cell_length_a 7.070
_cell_length_b 7.070
_cell_length_c 3.892
_cell_angle_alpha 90.00
_cell_angle_beta 90.00
_cell_angle_gamma 90.00
_symmetry_space_group_name_H-M 'P 4/m b m'
_symmetry_Int_Tables_number 127
_symmetry_space_group_name_Hall '-P 4 2ab'
loop_
_atom_site_label
_atom_site_type_symbol
_atom_site_fract_x
_atom_site_fract_y
_atom_site_fract_z
Ge1 Ge 0.173 0.327 0.000
P1 P 0.000 0.000 0.000
Au1 Au 0.139 0.639 0.500
```

Properties
The crystal system is tetragonal. As for the formation energy: 349 meV/atom. As for the total energy: -3.891 eV/atom. For the density of states at the Fermi level, the calculation gives 0.62 states/eV per atom. The energy above the most stable polymorph in this dataset comes out at 4.3 kJ per mole of atoms.